Entry 1:
Compound: Rb2ScAuF6
Source: Alexandria via LeMat-Bulk
Functional: PBE
Structure: relaxed

Values from the calculation:
Fermi-level density of states = 0.000 states/eV/cell
Calculated total energy = -5.06 eV/atom

Lattice parameters (Å, degrees): 6.8483 6.8483 6.3841 57.56 57.56 90.00
Closest atoms and distances in Å follow each position.
Fractional coordinates of all 10 atoms:
F1 0.7491 0.7491 0.5017  1 Sc 2.07, 1 Au 2.09
F2 0.2509 0.2509 0.4983  1 Sc 2.07, 1 Au 2.09
F3 0.7073 0.7073 0.0000  1 Sc 2.01
F4 0.7073 0.2927 0.0000  1 Sc 2.01
F5 0.2927 0.7073 0.0000  1 Sc 2.01
F6 0.2927 0.2927 0.0000  1 Sc 2.01
Rb1 0.7500 0.2500 0.5000  12 F 3.22-3.42
Rb2 0.2500 0.7500 0.5000  12 F 3.22-3.42
Sc1 0.5000 0.5000 0.0000  6 F 2.01-2.07
Au1 0.0000 0.0000 0.0000  2 F 2.09


Entry 2:
Compound: RbNpBO6
Source: Alexandria via LeMat-Bulk
Functional: PBE
Structure: relaxed

Values from the calculation:
Calculated total energy = -7.74 eV/atom

Lattice parameters (Å, degrees): 5.4816 4.9909 6.2572 85.87 88.99 62.51
Closest atoms and distances in Å follow each position.
Fractional coordinates of all 9 atoms:
O1 0.3630 0.1356 0.7552  1 Np 1.82
O2 0.9970 0.3358 0.3793  1 B 1.52
O3 0.3755 0.5078 0.2367  1 Np 1.82
O4 0.6498 0.8758 0.3735  1 B 1.46
O5 0.6143 0.4837 0.6200  1 B 1.45
O6 0.9536 0.6835 0.6373  1 B 1.48
B1 0.7884 0.5910 0.5037  4 O 1.45-1.52
Rb1 0.9072 0.0556 0.9986  8 O 2.96-3.22
Np1 0.3511 0.3314 0.4957  2 O 1.82